## CsGa2Ir (GGA-PBE)

Data for a relaxed CsGa2Ir crystal.

Results
Total DFT energy (no corrections) (eV per atom): -4.159
ΔH_f (0 K) (eV/atom): -0.217
Crystal system: trigonal

a = 4.3356 Å, b = 4.3356 Å, c = 20.3091 Å
α = 90.00°, β = 90.00°, γ = 120.00°
With the nearest neighbours (Å) after each atom.
Space group R-3m (No. 166, hexagonal axes)
Unique sites:
Cs 0.0000 0.0000 0.0000 (multiplicity 3)  8 Ga 3.79-3.92, 6 Ir 4.21
Ga 0.0000 0.0000 0.1931 (multiplicity 6)  3 Ir 2.56, 3 Ga 2.72
Ir 0.0000 0.0000 0.5000 (multiplicity 3)  6 Ga 2.56